Entry from Alexandria via LeMat-Bulk: an optimized crystal structure of ZnNiCO4 (PBE with a Hubbard U).

```
ZnNiCO4
1.0
5.533 0.000 0.000
2.767 4.759 0.076
2.767 1.522 4.509
Zn Ni C O
2 2 2 8
Cartesian
0.000 0.000 0.000
2.767 3.140 2.293
4.150 0.761 2.255
1.383 0.761 2.255
5.533 3.181 0.623
5.533 3.100 3.962
8.300 4.721 3.683
5.533 4.475 3.503
5.533 1.806 1.082
2.767 1.559 0.902
4.368 3.843 1.106
6.698 3.843 1.106
4.368 2.437 3.479
6.698 2.437 3.479
```

Results
Energy in Ry/atom: -0.410
Magnetic moment in μB/f.u.: 1.997
V in Å³ per cell: 118.1
SG: No. 74